SiTcP2 | PBE | optimized geometry

a b c (Å): 4.6782 3.2270 3.9026
angles (deg): 88.11 90.00 90.00
Fractional coordinates of all 4 atoms:
P 0.0000 0.5070 0.5550
P 0.0000 0.9930 0.9450
Tc 0.5000 0.7500 0.7500
Si 0.5000 0.2500 0.2500

Properties
magnetic moment: 0.00 μB per formula unit
raw formation energy: 96 meV per atom